Below is a geometry-optimized BWOF2 structure, with properties calculated at the PBE+U level. Values from VASP.

Output
Size of the total moment = 3.8 μB/cell
Density = 7.0 g/cm3
Energy above the most stable polymorph in this dataset = 0 meV/atom

Cell and atoms, written as Quantum ESPRESSO input:
```
&SYSTEM
  ibrav = 0, nat = 5, ntyp = 4
/
ATOMIC_SPECIES
B 10.81 B.upf
W 183.84 W.upf
O 16.00 O.upf
F 19.00 F.upf
CELL_PARAMETERS angstrom
4.657 0.000 0.000
0.000 4.657 0.000
0.000 0.000 2.718
ATOMIC_POSITIONS angstrom
B 0.000 0.000 0.000
W 2.328 2.328 1.359
O 0.000 0.000 1.359
F 0.000 2.328 0.000
F 2.328 0.000 0.000
```